# 1
Material: NaScSn2
Method: DFT, GGA-PBE
State: relaxed

Cell: 3.2773 3.2773 9.2556 Å, 90.00 90.00 90.00°
Space group P4/mmm (No. 123)
Asymmetric unit:
1 Na 0.0000 0.0000 0.0000 (multiplicity 1)
2 Sc 0.0000 0.0000 0.5000 (multiplicity 1)
3 Sn 0.5000 0.5000 0.2685 (multiplicity 2)

Calculated values
Formation energy from the elements in meV per atom: -382

# 2
Material: InRuAu2
Method: DFT, GGA-PBE
State: relaxed

Cell: 3.0683 3.0683 7.7099 Å, 90.00 90.00 90.00°
Space group P4/mmm (No. 123)
Asymmetric unit:
1 In 0.0000 0.0000 0.0000 (multiplicity 1)
2 Ru 0.0000 0.0000 0.5000 (multiplicity 1)
3 Au 0.5000 0.5000 0.2640 (multiplicity 2)

Calculated values
Formation energy from the elements in meV per atom: 284

# 3
Material: PrDy2Y
Method: DFT, GGA-PBE
State: relaxed

Cell: 3.6693 11.4929 6.3064 Å, 90.00 90.00 90.00°
Space group Imm2 (No. 44)
Asymmetric unit:
1 Pr 0.0000 0.0000 0.0000 (multiplicity 2)
2 Dy 0.0000 0.2483 0.6635 (multiplicity 4)
3 Y 0.0000 0.5000 0.9972 (multiplicity 2)

Calculated values
Offset from the most stable computed form in meV/atom: 11
Formation energy from the elements in meV per atom: 19

# 4
Material: CsTlCdIn2
Method: DFT, GGA-PBE
State: relaxed

Cell: 8.5184 4.8925 9.2817 Å, 90.00 102.57 90.00°
Space group P2_1/m (No. 11)
Asymmetric unit:
1 Cs 0.2205 0.2500 0.3678 (multiplicity 2)
2 Tl 0.3396 0.7500 0.7121 (multiplicity 2)
3 Cd 0.1026 0.7500 0.0069 (multiplicity 2)
4 In 0.1752 0.2500 0.8389 (multiplicity 2)
5 In 0.4484 0.7500 0.0928 (multiplicity 2)

Calculated values
Formation energy from the elements in meV per atom: -74

# 5
Material: Cs2AcBr
Method: DFT, GGA-PBE
State: relaxed

Cell: 4.3309 4.3309 40.1567 Å, 90.00 90.00 120.00°
Space group R-3m (No. 166, hexagonal axes)
Asymmetric unit:
1 Cs 0.0000 0.0000 0.1046 (multiplicity 6)
2 Ac 0.0000 0.0000 0.0000 (multiplicity 3)
3 Br 0.0000 0.0000 0.5000 (multiplicity 3)

Calculated values
Formation energy without anion corrections in kcal/mol of atoms: -12.1

# 6
Material: HoBi2Pb
Method: DFT, GGA-PBE
State: relaxed

Cell: 4.7217 4.7217 21.6364 Å, 90.00 90.00 120.00°
Space group R3m (No. 160, hexagonal axes)
Asymmetric unit:
1 Ho 0.0000 0.0000 0.0000 (multiplicity 3)
2 Bi 0.0000 0.0000 0.4090 (multiplicity 3)
3 Bi 0.0000 0.0000 0.5922 (multiplicity 3)
4 Pb 0.0000 0.0000 0.1706 (multiplicity 3)

Calculated values
Offset from the most stable computed form in meV/atom: 83
Formation energy from the elements in meV per atom: -252